# 1
## YTe2NF (PBE)

Data for an optimized crystal structure of YTe2NF.

abc: 4.775 4.775 4.494
angles: 90.00 90.00 90.00
Positions (direct):
Y (0.000, 0.000, 0.000)
Te (0.000, 0.500, 0.500)
Te (0.500, 0.000, 0.500)
N (0.500, 0.500, 0.000)
F (0.500, 0.500, 0.500)

Properties
VASP energy: -4.41 eV per atom
Raw formation energy: 17 kJ/mol of atoms
Energy above the most stable polymorph in this dataset: 0.00 eV/f.u.
D(E_F): 2.87 states/eV per cell

***

# 2
## YTe2NF (PBE)

Data for an optimized crystal structure of YTe2NF.

abc: 5.914 5.914 4.282
angles: 90.00 90.00 90.00
Positions (direct):
Y (0.000, 0.000, 0.000)
Te (0.000, 0.500, 0.000)
Te (0.500, 0.000, 0.000)
N (0.000, 0.000, 0.500)
F (0.500, 0.500, 0.500)

Properties
VASP energy: -4.32 eV per atom
Raw formation energy: 26 kJ/mol of atoms
Energy above the most stable polymorph in this dataset: 0.49 eV/f.u.
D(E_F): 8.16 states/eV per cell

***

# 3
## ZnTeNF2 (PBE)

Data for an optimized crystal structure of ZnTeNF2.

abc: 4.543 4.543 4.122
angles: 90.00 90.00 90.00
Positions (direct):
Zn (0.000, 0.000, 0.000)
Te (0.500, 0.500, 0.500)
N (0.500, 0.500, 0.000)
F (0.000, 0.500, 0.500)
F (0.500, 0.000, 0.500)

Properties
VASP energy: -3.49 eV per atom
Raw formation energy: -19 kJ/mol of atoms
Energy above the most stable polymorph in this dataset: 1.20 eV/f.u.
D(E_F): 3.00 states/eV per cell

***

# 4
## ZnTeN2F (PBE)

Data for an optimized crystal structure of ZnTeN2F.

abc: 4.027 4.027 3.851
angles: 90.00 90.00 90.00
Positions (direct):
Zn (0.000, 0.000, 0.000)
Te (0.500, 0.500, 0.500)
N (0.000, 0.500, 0.000)
N (0.500, 0.000, 0.000)
F (0.000, 0.000, 0.500)

Properties
VASP energy: -3.88 eV per atom
Raw formation energy: 69 kJ/mol of atoms
Energy above the most stable polymorph in this dataset: 0.00 eV/f.u.
D(E_F): 3.15 states/eV per cell

***

# 5
## ZnTeN2F (PBE)

Data for an optimized crystal structure of ZnTeN2F.

abc: 4.590 4.590 4.243
angles: 90.00 90.00 90.00
Positions (direct):
Zn (0.000, 0.000, 0.000)
Te (0.500, 0.500, 0.000)
N (0.000, 0.500, 0.500)
N (0.500, 0.000, 0.500)
F (0.500, 0.500, 0.500)

Properties
VASP energy: -2.77 eV per atom
Raw formation energy: 175 kJ/mol of atoms
Energy above the most stable polymorph in this dataset: 5.51 eV/f.u.
D(E_F): 1.82 states/eV per cell

***

# 6
## ZnTeN2F (PBE)

Data for an optimized crystal structure of ZnTeN2F.

abc: 4.113 4.113 4.234
angles: 90.00 90.00 90.00
Positions (direct):
Zn (0.000, 0.000, 0.000)
Te (0.500, 0.500, 0.500)
N (0.000, 0.500, 0.500)
N (0.500, 0.000, 0.500)
F (0.500, 0.500, 0.000)

Properties
VASP energy: -3.83 eV per atom
Raw formation energy: 73 kJ/mol of atoms
Energy above the most stable polymorph in this dataset: 0.22 eV/f.u.
D(E_F): 2.47 states/eV per cell

***

# 7
## ZnTeNF2 (PBE)

Data for an optimized crystal structure of ZnTeNF2.

abc: 3.673 3.673 5.999
angles: 90.00 90.00 90.00
Positions (direct):
Zn (0.000, 0.000, 0.000)
Te (0.500, 0.500, 0.500)
N (0.000, 0.000, 0.500)
F (0.000, 0.500, 0.000)
F (0.500, 0.000, 0.000)

Properties
VASP energy: -3.73 eV per atom
Raw formation energy: -42 kJ/mol of atoms
Energy above the most stable polymorph in this dataset: 0.00 eV/f.u.
D(E_F): 1.36 states/eV per cell

***

# 8
## ZnTeN2F (PBE)

Data for an optimized crystal structure of ZnTeN2F.

abc: 3.813 3.813 6.248
angles: 90.00 90.00 90.00
Positions (direct):
Zn (0.000, 0.000, 0.000)
Te (0.000, 0.000, 0.500)
N (0.000, 0.500, 0.000)
N (0.500, 0.000, 0.000)
F (0.500, 0.500, 0.500)

Properties
VASP energy: -3.37 eV per atom
Raw formation energy: 118 kJ/mol of atoms
Energy above the most stable polymorph in this dataset: 2.55 eV/f.u.
D(E_F): 1.64 states/eV per cell

***

# 9
## ZrTeN2F (PBE)

Data for an optimized crystal structure of ZrTeN2F.

abc: 4.259 4.259 4.006
angles: 90.00 90.00 90.00
Positions (direct):
Zr (0.000, 0.000, 0.000)
Te (0.500, 0.500, 0.000)
N (0.000, 0.500, 0.500)
N (0.500, 0.000, 0.500)
F (0.500, 0.500, 0.500)

Properties
VASP energy: -4.95 eV per atom
Raw formation energy: 105 kJ/mol of atoms
Energy above the most stable polymorph in this dataset: 7.56 eV/f.u.
D(E_F): 2.06 states/eV per cell

***

# 10
## ZrTeN2F (PBE)

Data for an optimized crystal structure of ZrTeN2F.

abc: 4.256 4.256 4.126
angles: 90.00 90.00 90.00
Positions (direct):
Zr (0.000, 0.000, 0.000)
Te (0.500, 0.500, 0.500)
N (0.000, 0.500, 0.500)
N (0.500, 0.000, 0.500)
F (0.500, 0.500, 0.000)

Properties
VASP energy: -5.56 eV per atom
Raw formation energy: 46 kJ/mol of atoms
Energy above the most stable polymorph in this dataset: 4.49 eV/f.u.
D(E_F): 2.74 states/eV per cell

***

# 11
## ZrTeN2F (PBE)

Data for an optimized crystal structure of ZrTeN2F.

abc: 4.372 4.372 4.085
angles: 90.00 90.00 90.00
Positions (direct):
Zr (0.000, 0.000, 0.000)
Te (0.500, 0.500, 0.500)
N (0.000, 0.500, 0.000)
N (0.500, 0.000, 0.000)
F (0.000, 0.000, 0.500)

Properties
VASP energy: -6.46 eV per atom
Raw formation energy: -40 kJ/mol of atoms
Energy above the most stable polymorph in this dataset: 0.00 eV/f.u.
D(E_F): 2.60 states/eV per cell

***

# 12
## ZrTeNF2 (PBE)

Data for an optimized crystal structure of ZrTeNF2.

abc: 4.570 4.570 4.217
angles: 90.00 90.00 90.00
Positions (direct):
Zr (0.000, 0.000, 0.000)
Te (0.500, 0.500, 0.500)
N (0.500, 0.500, 0.000)
F (0.000, 0.500, 0.500)
F (0.500, 0.000, 0.500)

Properties
VASP energy: -4.75 eV per atom
Raw formation energy: 0 kJ/mol of atoms
Energy above the most stable polymorph in this dataset: 7.14 eV/f.u.
D(E_F): 6.35 states/eV per cell

***

# 13
## ZrTeN2F (PBE)

Data for an optimized crystal structure of ZrTeN2F.

abc: 4.068 4.068 6.210
angles: 90.00 90.00 90.00
Positions (direct):
Zr (0.000, 0.000, 0.000)
Te (0.000, 0.000, 0.500)
N (0.000, 0.500, 0.000)
N (0.500, 0.000, 0.000)
F (0.500, 0.500, 0.500)

Properties
VASP energy: -5.73 eV per atom
Raw formation energy: 30 kJ/mol of atoms
Energy above the most stable polymorph in this dataset: 3.64 eV/f.u.
D(E_F): 3.78 states/eV per cell

***

# 14
## Zr2TeNF (PBE)

Data for an optimized crystal structure of Zr2TeNF.

abc: 5.314 5.314 4.265
angles: 90.00 90.00 90.00
Positions (direct):
Zr (0.000, 0.500, 0.000)
Zr (0.500, 0.000, 0.000)
Te (0.000, 0.000, 0.000)
N (0.500, 0.500, 0.500)
F (0.000, 0.000, 0.500)

Properties
VASP energy: -5.15 eV per atom
Raw formation energy: 90 kJ/mol of atoms
D(E_F): 3.58 states/eV per cell

***

# 15
## ZrTeNF2 (PBE)

Data for an optimized crystal structure of ZrTeNF2.

abc: 4.200 4.200 4.516
angles: 90.00 90.00 90.00
Positions (direct):
Zr (0.000, 0.000, 0.000)
Te (0.500, 0.500, 0.500)
N (0.000, 0.000, 0.500)
F (0.000, 0.500, 0.000)
F (0.500, 0.000, 0.000)

Properties
VASP energy: -6.18 eV per atom
Raw formation energy: -138 kJ/mol of atoms
Energy above the most stable polymorph in this dataset: 0.00 eV/f.u.
D(E_F): 3.04 states/eV per cell

***

# 16
## ThN2F4 (PBE)

Data for an optimized crystal structure of ThN2F4.

abc: 3.988 3.988 10.832
angles: 100.33 100.33 90.02
Positions (direct):
Th (0.000, 0.000, 0.000)
N (0.310, 0.310, 0.619)
N (0.690, 0.690, 0.381)
F (0.057, 0.557, 0.119)
F (0.443, 0.943, 0.881)
F (0.557, 0.057, 0.119)
F (0.943, 0.443, 0.881)

Properties
VASP energy: -5.92 eV per atom
Raw formation energy: -136 kJ/mol of atoms
D(E_F): 0.00 states/eV per cell

***

# 17
## TiNF2 (PBE)

Data for an optimized crystal structure of TiNF2.

abc: 3.764 3.764 3.764
angles: 60.00 60.00 60.00
Positions (direct):
Ti (0.000, 0.000, 0.000)
N (0.500, 0.500, 0.500)
F (0.250, 0.250, 0.250)
F (0.750, 0.750, 0.750)

Properties
VASP energy: -5.79 eV per atom
Raw formation energy: -77 kJ/mol of atoms
Energy above the most stable polymorph in this dataset: 0.00 eV/f.u.
D(E_F): 0.16 states/eV per cell

***

# 18
## TiNF2 (PBE)

Data for an optimized crystal structure of TiNF2.

abc: 8.950 8.950 8.950
angles: 17.56 17.56 17.56
Positions (direct):
Ti (0.000, 0.000, 0.000)
N (0.500, 0.500, 0.500)
F (0.385, 0.385, 0.385)
F (0.615, 0.615, 0.615)

Properties
VASP energy: -5.62 eV per atom
Raw formation energy: -61 kJ/mol of atoms
Energy above the most stable polymorph in this dataset: 0.67 eV/f.u.
D(E_F): 1.87 states/eV per cell

***

# 19
## TiNF3 (PBE)

Data for an optimized crystal structure of TiNF3.

abc: 3.886 3.886 3.886
angles: 90.00 90.00 90.00
Positions (direct):
Ti (0.000, 0.000, 0.000)
N (0.500, 0.500, 0.500)
F (0.000, 0.500, 0.500)
F (0.500, 0.000, 0.500)
F (0.500, 0.500, 0.000)

Properties
VASP energy: -4.26 eV per atom
Raw formation energy: 10 kJ/mol of atoms
Energy above the most stable polymorph in this dataset: 8.28 eV/f.u.
D(E_F): 10.94 states/eV per cell

***

# 20
## TiN3F6 (PBE)

Data for an optimized crystal structure of TiN3F6.

abc: 5.630 5.630 5.630
angles: 60.00 60.00 60.00
Positions (direct):
Ti (0.000, 0.000, 0.000)
N (0.250, 0.250, 0.250)
N (0.500, 0.500, 0.500)
N (0.750, 0.750, 0.750)
F (0.239, 0.239, 0.761)
F (0.239, 0.761, 0.239)
F (0.239, 0.761, 0.761)
F (0.761, 0.239, 0.239)
F (0.761, 0.239, 0.761)
F (0.761, 0.761, 0.239)

Properties
VASP energy: -4.54 eV per atom
Raw formation energy: -12 kJ/mol of atoms
D(E_F): 12.73 states/eV per cell

***

# 21
## TiNF3 (PBE)

Data for an optimized crystal structure of TiNF3.

abc: 3.979 3.979 3.979
angles: 90.00 90.00 90.00
Positions (direct):
Ti (0.000, 0.000, 0.000)
N (0.500, 0.500, 0.500)
F (0.000, 0.000, 0.500)
F (0.000, 0.500, 0.000)
F (0.500, 0.000, 0.000)

Properties
VASP energy: -5.92 eV per atom
Raw formation energy: -149 kJ/mol of atoms
Energy above the most stable polymorph in this dataset: 0.00 eV/f.u.
D(E_F): 4.06 states/eV per cell

***

# 22
## Ti2NF (PBE)

Data for an optimized crystal structure of Ti2NF.

abc: 3.818 3.818 3.818
angles: 60.00 60.00 60.00
Positions (direct):
Ti (0.250, 0.250, 0.250)
Ti (0.750, 0.750, 0.750)
N (0.000, 0.000, 0.000)
F (0.500, 0.500, 0.500)

Properties
VASP energy: -7.71 eV per atom
Raw formation energy: -117 kJ/mol of atoms
Energy above the most stable polymorph in this dataset: 0.82 eV/f.u.
D(E_F): 1.12 states/eV per cell

***

# 23
## TiNF (PBE)

Data for an optimized crystal structure of TiNF.

abc: 5.417 3.410 10.202
angles: 90.00 90.00 90.00
Positions (direct):
Ti (0.070, 0.250, 0.104)
Ti (0.430, 0.750, 0.604)
Ti (0.570, 0.250, 0.396)
Ti (0.930, 0.750, 0.896)
N (0.170, 0.750, 0.036)
N (0.330, 0.250, 0.536)
N (0.670, 0.750, 0.464)
N (0.830, 0.250, 0.964)
F (0.145, 0.750, 0.748)
F (0.355, 0.250, 0.248)
F (0.645, 0.750, 0.752)
F (0.855, 0.250, 0.252)

Properties
VASP energy: -8.18 eV per atom
Raw formation energy: -208 kJ/mol of atoms
D(E_F): 0.00 states/eV per cell

***

# 24
## TiN2F4 (PBE)

Data for an optimized crystal structure of TiN2F4.

abc: 3.122 4.892 8.047
angles: 88.92 88.56 88.77
Positions (direct):
Ti (0.000, 0.000, 0.000)
N (0.492, 0.611, 0.514)
N (0.508, 0.389, 0.486)
F (0.000, 0.288, 0.858)
F (0.000, 0.712, 0.142)
F (0.487, 0.155, 0.119)
F (0.513, 0.845, 0.881)

Properties
VASP energy: -6.86 eV per atom
Raw formation energy: -221 kJ/mol of atoms
D(E_F): 0.00 states/eV per cell

***

# 25
## TiNF (PBE)

Data for an optimized crystal structure of TiNF.

abc: 3.367 3.367 2.897
angles: 90.00 90.00 120.00
Positions (direct):
Ti (0.000, 0.000, 0.000)
N (0.333, 0.667, 0.500)
F (0.667, 0.333, 0.000)

Properties
VASP energy: -7.31 eV per atom
Raw formation energy: -124 kJ/mol of atoms
D(E_F): 0.07 states/eV per cell

***

# 26
## Ti3NF (PBE)

Data for an optimized crystal structure of Ti3NF.

abc: 4.130 4.130 4.130
angles: 90.00 90.00 90.00
Positions (direct):
Ti (0.000, 0.000, 0.500)
Ti (0.000, 0.500, 0.000)
Ti (0.500, 0.000, 0.000)
N (0.000, 0.000, 0.000)
F (0.500, 0.500, 0.500)

Properties
VASP energy: -7.42 eV per atom
Raw formation energy: -62 kJ/mol of atoms
Energy above the most stable polymorph in this dataset: 0.00 eV/f.u.
D(E_F): 6.57 states/eV per cell

***

# 27
## Ti2NF (PBE)

Data for an optimized crystal structure of Ti2NF.

abc: 5.795 5.795 5.795
angles: 130.78 130.78 72.17
Positions (direct):
Ti (0.079, 0.625, 0.954)
Ti (0.375, 0.329, 0.454)
Ti (0.671, 0.125, 0.046)
Ti (0.875, 0.921, 0.546)
N (0.000, 0.000, 0.000)
N (0.750, 0.250, 0.500)
F (0.250, 0.750, 0.500)
F (0.500, 0.500, 0.000)

Properties
VASP energy: -7.91 eV per atom
Raw formation energy: -136 kJ/mol of atoms
Energy above the most stable polymorph in this dataset: 0.00 eV/f.u.
D(E_F): 5.87 states/eV per cell

***

# 28
## TiNF (PBE)

Data for an optimized crystal structure of TiNF.

abc: 3.068 3.964 6.303
angles: 90.00 90.00 90.00
Positions (direct):
Ti (0.250, 0.250, 0.130)
Ti (0.750, 0.750, 0.870)
N (0.250, 0.750, 0.076)
N (0.750, 0.250, 0.924)
F (0.250, 0.750, 0.657)
F (0.750, 0.250, 0.343)

Properties
VASP energy: -8.24 eV per atom
Raw formation energy: -213 kJ/mol of atoms